The following is a DFT calculation (PBE) of a relaxed GePd5Au crystal.

```
data_GePd5Au
_cell_length_a 4.043
_cell_length_b 4.043
_cell_length_c 7.006
_cell_angle_alpha 90.00
_cell_angle_beta 90.00
_cell_angle_gamma 90.00
_symmetry_space_group_name_H-M 'P 4/m m m'
_symmetry_Int_Tables_number 123
_symmetry_space_group_name_Hall '-P 4 2'
loop_
_atom_site_label
_atom_site_fract_x
_atom_site_fract_y
_atom_site_fract_z
Ge1 0.000 0.000 0.000
Pd1 0.000 0.000 0.500
Pd2 0.000 0.500 0.211
Au1 0.500 0.500 0.500
```

The formation enthalpy at 0 K is -25.1 kJ per mole of atoms. The energy relative to the lowest polymorph listed for this composition is 0.0000 eV per atom. The calculated total energy is -5.10 eV/atom.

The following is a DFT calculation (PBE) of a relaxed Ge2PdAu crystal.

```
data_Ge2PdAu
_cell_length_a 5.084
_cell_length_b 4.450
_cell_length_c 7.008
_cell_angle_alpha 90.00
_cell_angle_beta 110.23
_cell_angle_gamma 90.00
_symmetry_space_group_name_H-M 'P 1 21/m 1'
_symmetry_Int_Tables_number 11
_symmetry_space_group_name_Hall '-P 2yb'
loop_
_atom_site_label
_atom_site_fract_x
_atom_site_fract_y
_atom_site_fract_z
Ge1 0.155 0.250 0.064
Ge2 0.255 0.750 0.694
Pd1 0.453 0.750 0.111
Au1 0.293 0.250 0.461
```

The formation enthalpy at 0 K is -13.2 kJ per mole of atoms. The energy relative to the lowest polymorph listed for this composition is 0.0000 eV per atom. The calculated total energy is -4.56 eV/atom.

The following is a DFT calculation (PBE) of a relaxed Ge2Pd8Au crystal.

```
data_Ge2Pd8Au
_cell_length_a 4.056
_cell_length_b 7.042
_cell_length_c 12.194
_cell_angle_alpha 90.00
_cell_angle_beta 90.00
_cell_angle_gamma 90.00
_symmetry_space_group_name_H-M 'I m m m'
_symmetry_Int_Tables_number 71
_symmetry_space_group_name_Hall '-I 2 2'
loop_
_atom_site_label
_atom_site_fract_x
_atom_site_fract_y
_atom_site_fract_z
Ge1 0.000 0.000 0.186
Pd1 0.000 0.196 0.000
Pd2 0.000 0.280 0.337
Pd3 0.000 0.500 0.152
Au1 0.000 0.000 0.500
```

The formation enthalpy at 0 K is -30.1 kJ per mole of atoms. The energy relative to the lowest polymorph listed for this composition is 0.0088 eV per atom. The calculated total energy is -5.23 eV/atom.

The following is a DFT calculation (PBE) of a relaxed Ge4Pd5Au crystal.

```
data_Ge4Pd5Au
_cell_length_a 8.365
_cell_length_b 8.372
_cell_length_c 5.519
_cell_angle_alpha 90.00
_cell_angle_beta 90.00
_cell_angle_gamma 90.00
_symmetry_space_group_name_H-M 'P m m n'
_symmetry_Int_Tables_number 59
loop_
_symmetry_equiv_pos_as_xyz
'x,y,z'
'-x,-y,-z'
'-x+1/2,-y+1/2,z'
'x+1/2,y+1/2,-z'
'x+1/2,-y,-z'
'-x+1/2,y,z'
'-x,y+1/2,-z'
'x,-y+1/2,z'
loop_
_atom_site_label
_atom_site_fract_x
_atom_site_fract_y
_atom_site_fract_z
Ge1 0.022 0.250 0.005
Ge2 0.250 0.005 0.574
Pd1 0.021 0.503 0.250
Pd2 0.250 0.250 0.305
Au1 0.250 0.750 0.281
```

The formation enthalpy at 0 K is -21.5 kJ per mole of atoms. The calculated total energy is -4.99 eV/atom.

The following is a DFT calculation (PBE) of a relaxed GePd6Au5 crystal.

```
data_GePd6Au5
_cell_length_a 4.385
_cell_length_b 7.015
_cell_length_c 12.873
_cell_angle_alpha 90.00
_cell_angle_beta 90.00
_cell_angle_gamma 90.00
_symmetry_space_group_name_H-M 'I m m m'
_symmetry_Int_Tables_number 71
_symmetry_space_group_name_Hall '-I 2 2'
loop_
_atom_site_label
_atom_site_fract_x
_atom_site_fract_y
_atom_site_fract_z
Ge1 0.000 0.000 0.000
Pd1 0.000 0.226 0.154
Pd2 0.000 0.289 0.500
Au1 0.000 0.000 0.343
Au2 0.000 0.500 0.000
Au3 0.000 0.500 0.310
```

The formation enthalpy at 0 K is -19.6 kJ per mole of atoms. The calculated total energy is -4.55 eV/atom.

The following is a DFT calculation (PBE) of a relaxed GePd5Au crystal.

```
data_GePd5Au
_cell_length_a 11.585
_cell_length_b 6.680
_cell_length_c 7.759
_cell_angle_alpha 90.00
_cell_angle_beta 127.06
_cell_angle_gamma 90.00
_symmetry_space_group_name_H-M 'C 1 2/c 1'
_symmetry_Int_Tables_number 15
_symmetry_space_group_name_Hall '-C 2yc'
loop_
_atom_site_label
_atom_site_fract_x
_atom_site_fract_y
_atom_site_fract_z
Ge1 0.000 0.094 0.250
Pd1 0.000 0.455 0.250
Pd2 0.012 0.204 0.570
Pd3 0.243 0.123 0.343
Au1 0.250 0.250 0.000
```

The formation enthalpy at 0 K is -10.1 kJ per mole of atoms. The energy relative to the lowest polymorph listed for this composition is 0.1554 eV per atom. The calculated total energy is -4.94 eV/atom.

The following is a DFT calculation (PBE) of a relaxed Ge2Pd7Au crystal.

```
data_Ge2Pd7Au
_cell_length_a 7.316
_cell_length_b 12.178
_cell_length_c 4.345
_cell_angle_alpha 90.00
_cell_angle_beta 90.00
_cell_angle_gamma 90.00
_symmetry_space_group_name_H-M 'C m m m'
_symmetry_Int_Tables_number 65
_symmetry_space_group_name_Hall '-C 2 2'
loop_
_atom_site_label
_atom_site_fract_x
_atom_site_fract_y
_atom_site_fract_z
Ge1 0.000 0.197 0.000
Pd1 0.000 0.000 0.000
Pd2 0.000 0.277 0.500
Pd3 0.188 0.380 0.000
Au1 0.000 0.500 0.500
```

The formation enthalpy at 0 K is -1.2 kJ per mole of atoms. The energy relative to the lowest polymorph listed for this composition is 0.3241 eV per atom. The calculated total energy is -4.90 eV/atom.

The following is a DFT calculation (PBE) of a relaxed Ge2Pd7Au crystal.

```
data_Ge2Pd7Au
_cell_length_a 4.073
_cell_length_b 4.073
_cell_length_c 19.879
_cell_angle_alpha 90.00
_cell_angle_beta 90.00
_cell_angle_gamma 90.00
_symmetry_space_group_name_H-M 'I 4/m m m'
_symmetry_Int_Tables_number 139
_symmetry_space_group_name_Hall '-I 4 2'
loop_
_atom_site_label
_atom_site_fract_x
_atom_site_fract_y
_atom_site_fract_z
Ge1 0.000 0.000 0.173
Pd1 0.000 0.000 0.000
Pd2 0.000 0.500 0.101
Pd3 0.000 0.500 0.250
Au1 0.000 0.000 0.500
```

The formation enthalpy at 0 K is -32.5 kJ per mole of atoms. The energy relative to the lowest polymorph listed for this composition is 0.0000 eV per atom. The calculated total energy is -5.22 eV/atom.

The following is a DFT calculation (PBE) of a relaxed Ge2PdAu2 crystal.

```
data_Ge2PdAu2
_cell_length_a 6.436
_cell_length_b 6.436
_cell_length_c 4.516
_cell_angle_alpha 90.00
_cell_angle_beta 90.00
_cell_angle_gamma 90.00
_symmetry_space_group_name_H-M 'P 4/m b m'
_symmetry_Int_Tables_number 127
_symmetry_space_group_name_Hall '-P 4 2ab'
loop_
_atom_site_label
_atom_site_fract_x
_atom_site_fract_y
_atom_site_fract_z
Ge1 0.132 0.368 0.000
Pd1 0.000 0.000 0.000
Au1 0.238 0.738 0.500
```

The formation enthalpy at 0 K is -1.2 kJ per mole of atoms. The energy relative to the lowest polymorph listed for this composition is 0.0000 eV per atom. The calculated total energy is -4.21 eV/atom.

The following is a DFT calculation (PBE) of a relaxed Ge2Pd8Au crystal.

```
data_Ge2Pd8Au
_cell_length_a 14.240
_cell_length_b 4.041
_cell_length_c 6.489
_cell_angle_alpha 90.00
_cell_angle_beta 112.48
_cell_angle_gamma 90.00
_symmetry_space_group_name_H-M 'C 1 2/m 1'
_symmetry_Int_Tables_number 12
_symmetry_space_group_name_Hall '-C 2y'
loop_
_atom_site_label
_atom_site_fract_x
_atom_site_fract_y
_atom_site_fract_z
Ge1 0.202 0.000 0.174
Pd1 0.038 0.000 0.235
Pd2 0.101 0.500 0.975
Pd3 0.169 0.000 0.754
Pd4 0.178 0.500 0.436
Au1 0.000 0.500 0.500
```

The formation enthalpy at 0 K is -31.0 kJ per mole of atoms. The energy relative to the lowest polymorph listed for this composition is 0.0000 eV per atom. The calculated total energy is -5.24 eV/atom.

The following is a DFT calculation (PBE) of a relaxed Pm2GePd6Au crystal.

```
data_Pm2GePd6Au
_cell_length_a 5.478
_cell_length_b 8.761
_cell_length_c 8.681
_cell_angle_alpha 90.00
_cell_angle_beta 90.00
_cell_angle_gamma 90.00
_symmetry_space_group_name_H-M 'P m m n'
_symmetry_Int_Tables_number 59
loop_
_symmetry_equiv_pos_as_xyz
'x,y,z'
'-x,-y,-z'
'-x+1/2,-y+1/2,z'
'x+1/2,y+1/2,-z'
'x+1/2,-y,-z'
'-x+1/2,y,z'
'-x,y+1/2,-z'
'x,-y+1/2,z'
loop_
_atom_site_label
_atom_site_fract_x
_atom_site_fract_y
_atom_site_fract_z
Pm1 0.250 0.010 0.237
Ge1 0.250 0.250 0.732
Pd1 0.003 0.750 0.506
Pd2 0.005 0.750 0.044
Pd3 0.250 0.000 0.594
Au1 0.250 0.750 0.782
```

The formation enthalpy at 0 K is -57.6 kJ per mole of atoms. The calculated total energy is -5.45 eV/atom.

The following is a DFT calculation (PBE) of a relaxed Pm2Ge4Pd3Au crystal.

```
data_Pm2Ge4Pd3Au
_cell_length_a 4.356
_cell_length_b 4.356
_cell_length_c 10.286
_cell_angle_alpha 90.00
_cell_angle_beta 90.00
_cell_angle_gamma 90.00
_symmetry_space_group_name_H-M 'P -4 m 2'
_symmetry_Int_Tables_number 115
_symmetry_space_group_name_Hall 'P -4 -2'
loop_
_atom_site_label
_atom_site_fract_x
_atom_site_fract_y
_atom_site_fract_z
Pm1 0.000 0.500 0.249
Ge1 0.000 0.000 0.000
Ge2 0.000 0.500 0.639
Ge3 0.500 0.500 0.000
Pd1 0.000 0.500 0.876
Pd2 0.500 0.500 0.500
Au1 0.000 0.000 0.500
```

The formation enthalpy at 0 K is -72.8 kJ per mole of atoms. The calculated total energy is -5.44 eV/atom.

Across the entries above, calculated volume takes the values 115; 149; 348; 387; 396; 479; 387; 330; 187; 345; 417; 195 Å³/cell, respectively.